A relaxed ZrTa2Ag crystal. Source: Alexandria via LeMat-Bulk, functional PBE.

Summary:
Total moment ... 0.000 μB per atom
E_form ... 0.236 eV per atom
Space group ... P4/mmm

a = 2.8656 Å, b = 2.8656 Å, c = 9.2727 Å
α = 90.00°, β = 90.00°, γ = 90.00°
Closest atoms and distances in Å follow each position.
Positions (direct):
Ag 0.5000 0.5000 0.7500  4 Ag 2.87, 8 Ta 3.01
Zr 0.5000 0.5000 0.2500  4 Zr 2.87, 8 Ta 3.15
Ta 0.0000 0.0000 0.9900  4 Ta 2.87, 4 Ag 3.01, 4 Zr 3.15
Ta 0.0000 0.0000 0.5100  4 Ta 2.87, 4 Ag 3.01, 4 Zr 3.15